## Pm7YEr3 (PBE)

Data for an optimized crystal structure of Pm7YEr3.

Energy of formation: 234 meV/atom
Total moment: 0.116 Bohr magnetons per cell
DFT total energy: -50.84 eV/f.u.

Cell: 8.525 8.525 5.871 Å, 110.04 110.04 83.12°
Positions (direct):
Pm  0.000  0.000  0.000
Pm  0.097  0.515  0.306
Pm  0.292  0.292  0.794
Pm  0.485  0.903  0.694
Pm  0.515  0.097  0.306
Pm  0.708  0.708  0.206
Pm  0.903  0.485  0.694
Y  0.000  0.000  0.500
Er  0.295  0.705  0.000
Er  0.500  0.500  0.500
Er  0.705  0.295  0.000